Entry 1:
# TaGaNi2

A relaxed structure of TaGaNi2 (PBE, Alexandria).

Unit cell a=2.8193 b=2.8193 c=6.7180 alpha=90.00 beta=90.00 gamma=90.00
Sites, in units of the cell vectors:
Ga (0.5000, 0.5000, 0.0000)
Ta (0.5000, 0.5000, 0.5000)
Ni (0.0000, 0.0000, 0.2243)
Ni (0.0000, 0.0000, 0.7757)

The calculation puts the formation energy at -306 meV/atom. As for the electronic total energy: -6.916 eV per atom. As for the volume: 13.35 Å³ per atom.

Entry 2:
# Ta2GaNi6

A relaxed structure of Ta2GaNi6 (PBE, Alexandria).

Unit cell a=5.4138 b=4.9644 c=4.9644 alpha=120.00 beta=90.00 gamma=90.00
Sites, in units of the cell vectors:
Ni (0.8265, 0.8244, 0.1756)
Ni (0.1735, 0.1756, 0.8244)
Ni (0.1735, 0.1756, 0.3512)
Ni (0.8265, 0.8244, 0.6488)
Ni (0.8265, 0.3512, 0.1756)
Ni (0.1735, 0.6488, 0.8244)
Ga (0.5000, 0.0000, 0.0000)
Ta (0.6470, 0.3333, 0.6667)
Ta (0.3530, 0.6667, 0.3333)

The calculation puts the formation energy at -200 meV/atom. As for the electronic total energy: -7.024 eV per atom. As for the volume: 12.84 Å³ per atom.

Entry 3:
# TaGaNi2

A relaxed structure of TaGaNi2 (PBE, Alexandria).

Unit cell a=3.6990 b=3.8450 c=3.8450 alpha=90.00 beta=90.00 gamma=90.00
Sites, in units of the cell vectors:
Ni (0.0000, 0.5000, 0.0000)
Ni (0.0000, 0.0000, 0.5000)
Ta (0.5000, 0.5000, 0.5000)
Ga (0.5000, 0.0000, 0.0000)

The calculation puts the formation energy at -167 meV/atom. As for the electronic total energy: -6.778 eV per atom. As for the volume: 13.67 Å³ per atom.

Entry 4:
# Ta2GaNi

A relaxed structure of Ta2GaNi (PBE, Alexandria).

Unit cell a=3.9100 b=3.9833 c=3.9833 alpha=90.00 beta=90.00 gamma=90.00
Sites, in units of the cell vectors:
Ni (0.5000, 0.5000, 0.5000)
Ta (0.0000, 0.5000, 0.0000)
Ta (0.0000, 0.0000, 0.5000)
Ga (0.5000, 0.0000, 0.0000)

The calculation puts the formation energy at -172 meV/atom. As for the electronic total energy: -8.300 eV per atom. As for the volume: 15.51 Å³ per atom.

Entry 5:
# Ta2GaNi

A relaxed structure of Ta2GaNi (PBE, Alexandria).

Unit cell a=5.6237 b=6.2741 c=5.6590 alpha=102.38 beta=60.40 gamma=63.14
Sites, in units of the cell vectors:
Ni (0.3198, 0.5002, 0.5006)
Ni (0.5552, 0.9999, 0.9994)
Ga (0.8532, 0.5012, 0.5017)
Ga (0.0217, 0.9988, 0.9983)
Ta (0.0674, 0.9920, 0.4870)
Ta (0.3279, 0.4915, 0.9889)
Ta (0.8076, 0.5079, 0.0130)
Ta (0.5471, 0.0085, 0.5112)

The calculation puts the formation energy at -8 meV/atom. As for the electronic total energy: -8.137 eV per atom. As for the volume: 15.99 Å³ per atom.

Entry 6:
# TaGaNi14

A relaxed structure of TaGaNi14 (PBE, Alexandria).

Unit cell a=5.0713 b=5.0713 c=7.1073 alpha=90.00 beta=90.00 gamma=90.00
Sites, in units of the cell vectors:
Ni (0.1263, 0.6237, 0.2432)
Ni (0.6237, 0.6237, 0.7568)
Ni (0.1263, 0.6237, 0.7568)
Ni (0.3750, 0.3750, 0.0000)
Ni (0.6237, 0.6237, 0.2432)
Ni (0.3750, 0.8750, 0.0000)
Ni (0.1263, 0.1263, 0.7568)
Ni (0.8750, 0.8750, 0.0000)
Ni (0.8750, 0.3750, 0.5000)
Ni (0.1263, 0.1263, 0.2432)
Ni (0.8750, 0.3750, 0.0000)
Ni (0.6237, 0.1263, 0.2432)
Ni (0.6237, 0.1263, 0.7568)
Ni (0.3750, 0.8750, 0.5000)
Ga (0.3750, 0.3750, 0.5000)
Ta (0.8750, 0.8750, 0.5000)

The calculation puts the formation energy at -134 meV/atom. As for the electronic total energy: -6.123 eV per atom. As for the volume: 11.42 Å³ per atom.

Entry 7:
# Ta2Ga3Ni4

A relaxed structure of Ta2Ga3Ni4 (PBE, Alexandria).

Unit cell a=5.0467 b=6.9444 c=7.4849 alpha=90.00 beta=109.70 gamma=90.00
Sites, in units of the cell vectors:
Ga (0.9919, 0.2500, 0.4838)
Ga (0.0081, 0.7500, 0.5162)
Ga (0.4919, 0.2500, 0.4838)
Ga (0.5081, 0.7500, 0.5162)
Ga (0.5000, 0.5000, 0.0000)
Ga (0.0000, 0.0000, 0.0000)
Ni (0.6710, 0.5114, 0.3419)
Ni (0.1710, 0.9886, 0.3419)
Ni (0.1811, 0.7500, 0.8621)
Ni (0.3290, 0.4886, 0.6581)
Ni (0.3189, 0.2500, 0.1379)
Ni (0.8290, 0.0114, 0.6581)
Ni (0.6811, 0.7500, 0.8621)
Ni (0.8189, 0.2500, 0.1379)
Ta (0.9075, 0.3990, 0.8150)
Ta (0.4075, 0.1010, 0.8150)
Ta (0.0925, 0.6010, 0.1850)
Ta (0.5925, 0.8990, 0.1850)

The calculation puts the formation energy at -272 meV/atom. As for the electronic total energy: -6.484 eV per atom. As for the volume: 13.72 Å³ per atom.

Entry 8:
# Ta2GaNi6

A relaxed structure of Ta2GaNi6 (PBE, Alexandria).

Unit cell a=2.6637 b=7.0520 c=7.2092 alpha=119.28 beta=90.17 gamma=90.00
Sites, in units of the cell vectors:
Ni (0.0001, 0.6589, 0.6798)
Ni (0.0001, 0.0209, 0.6798)
Ni (0.9999, 0.9791, 0.3202)
Ni (0.9999, 0.3411, 0.3202)
Ni (0.5000, 0.6865, 0.0000)
Ni (0.5000, 0.3135, 0.0000)
Ta (0.4980, 0.6806, 0.3613)
Ta (0.5020, 0.3194, 0.6387)
Ga (0.0000, 0.0000, 0.0000)

The calculation puts the formation energy at -140 meV/atom. As for the electronic total energy: -6.965 eV per atom. As for the volume: 13.12 Å³ per atom.

Entry 9:
# Ta2GaNi4

A relaxed structure of Ta2GaNi4 (PBE, Alexandria).

Unit cell a=4.2060 b=4.2060 c=6.9842 alpha=72.48 beta=72.48 gamma=90.00
Sites, in units of the cell vectors:
Ta (0.6311, 0.6311, 0.7379)
Ta (0.3689, 0.3689, 0.2621)
Ni (0.1844, 0.1844, 0.6312)
Ni (0.0000, 0.5000, 0.0000)
Ni (0.8156, 0.8156, 0.3688)
Ni (0.5000, 0.0000, 0.0000)
Ga (0.0000, 0.0000, 0.0000)

The calculation puts the formation energy at 702 meV/atom. As for the electronic total energy: -6.421 eV per atom. As for the volume: 15.97 Å³ per atom.

Entry 10:
# Ta6Ga3Ni

A relaxed structure of Ta6Ga3Ni (PBE, Alexandria).

Unit cell a=7.6340 b=6.3651 c=7.1786 alpha=90.00 beta=84.24 gamma=90.00
Sites, in units of the cell vectors:
Ni (0.0000, 0.0000, 0.0000)
Ni (0.5000, 0.5000, 0.5000)
Ga (0.5472, 0.8074, 0.6937)
Ga (0.9528, 0.3074, 0.8063)
Ga (0.5000, 0.5000, 0.0000)
Ga (0.0000, 0.0000, 0.5000)
Ga (0.0472, 0.6926, 0.1937)
Ga (0.4528, 0.1926, 0.3063)
Ta (0.7996, 0.6912, 0.9290)
Ta (0.2004, 0.3088, 0.0710)
Ta (0.6977, 0.8654, 0.2716)
Ta (0.3023, 0.1346, 0.7284)
Ta (0.3499, 0.8834, 0.0457)
Ta (0.7004, 0.1912, 0.5710)
Ta (0.1501, 0.3834, 0.4543)
Ta (0.2996, 0.8088, 0.4290)
Ta (0.8499, 0.6166, 0.5457)
Ta (0.1977, 0.6346, 0.7716)
Ta (0.6501, 0.1166, 0.9543)
Ta (0.8023, 0.3654, 0.2284)

The calculation puts the formation energy at 69 meV/atom. As for the electronic total energy: -8.529 eV per atom. As for the volume: 17.35 Å³ per atom.

Entry 11:
# Ta2GaNi

A relaxed structure of Ta2GaNi (PBE, Alexandria).

Unit cell a=4.0007 b=4.0036 c=5.3639 alpha=68.09 beta=68.10 gamma=60.02
Sites, in units of the cell vectors:
Ta (0.9037, 0.6669, 0.5257)
Ta (0.6896, 0.4518, 0.1690)
Ni (0.5004, 0.2637, 0.7356)
Ga (0.1166, 0.8795, 0.8872)

The calculation puts the formation energy at 129 meV/atom. As for the electronic total energy: -8.000 eV per atom. As for the volume: 16.79 Å³ per atom.

Entry 12:
# TaGaTcNi

A relaxed structure of TaGaTcNi (PBE, Alexandria).

Unit cell a=4.3534 b=4.3534 c=4.3534 alpha=60.00 beta=60.00 gamma=60.00
Sites, in units of the cell vectors:
Ta (0.0000, 0.0000, 0.0000)
Tc (0.7500, 0.7500, 0.7500)
Ni (0.2500, 0.2500, 0.2500)
Ga (0.5000, 0.5000, 0.5000)

The calculation puts the formation energy at -249 meV/atom. As for the electronic total energy: -8.006 eV per atom. As for the volume: 14.58 Å³ per atom.

Entry 13:
# TaGaNi2W

A relaxed structure of TaGaNi2W (PBE, Alexandria).

Unit cell a=4.1651 b=4.7733 c=4.1651 alpha=90.00 beta=90.00 gamma=90.00
Sites, in units of the cell vectors:
Ni (0.5000, 0.0000, 0.0000)
Ni (0.0000, 0.0000, 0.5000)
Ga (0.0000, 0.0000, 0.0000)
W (0.5000, 0.5000, 0.5000)
Ta (0.0000, 0.5000, 0.0000)

The calculation puts the formation energy at 1080 meV/atom. As for the electronic total energy: -6.799 eV per atom. As for the volume: 16.56 Å³ per atom.

Entry 14:
# Ta2ZnGaNi

A relaxed structure of Ta2ZnGaNi (PBE, Alexandria).

Unit cell a=4.7222 b=4.2698 c=4.7222 alpha=90.00 beta=90.00 gamma=90.00
Sites, in units of the cell vectors:
Ta (0.0000, 0.0000, 0.5000)
Ta (0.5000, 0.0000, 0.0000)
Ga (0.0000, 0.5000, 0.0000)
Zn (0.0000, 0.0000, 0.0000)
Ni (0.5000, 0.5000, 0.5000)

The calculation puts the formation energy at 1320 meV/atom. As for the electronic total energy: -5.437 eV per atom. As for the volume: 19.04 Å³ per atom.

Entry 15:
# TbGa2Ni3

A relaxed structure of TbGa2Ni3 (PBE, Alexandria).

Unit cell a=3.8398 b=5.2222 c=5.2222 alpha=120.00 beta=90.00 gamma=90.00
Sites, in units of the cell vectors:
Ga (0.0000, 0.3333, 0.6667)
Ga (0.0000, 0.6667, 0.3333)
Tb (0.0000, 0.0000, 0.0000)
Ni (0.5000, 0.5000, 0.5000)
Ni (0.5000, 0.0000, 0.5000)
Ni (0.5000, 0.5000, 0.0000)

The calculation puts the formation energy at -548 meV/atom. As for the electronic total energy: -5.219 eV per atom. As for the volume: 15.11 Å³ per atom.

Entry 16:
# TbGa7Ni5

A relaxed structure of TbGa7Ni5 (PBE, Alexandria).

Unit cell a=5.0866 b=6.5678 c=6.5678 alpha=82.70 beta=67.22 gamma=67.22
Sites, in units of the cell vectors:
Ni (0.0049, 0.4881, 0.0079)
Ni (0.7330, 0.7670, 0.7670)
Ni (0.4991, 0.0079, 0.4881)
Ni (0.4991, 0.4881, 0.0079)
Ni (0.0049, 0.0079, 0.4881)
Ga (0.6489, 0.3511, 0.3511)
Ga (0.9845, 0.6725, 0.3585)
Ga (0.3427, 0.6573, 0.6573)
Ga (0.9845, 0.3585, 0.6725)
Ga (0.5131, 0.7865, 0.1872)
Ga (0.5131, 0.1872, 0.7865)
Ga (0.2678, 0.2322, 0.2322)
Tb (0.0042, 0.9958, 0.9958)

The calculation puts the formation energy at -459 meV/atom. As for the electronic total energy: -4.669 eV per atom. As for the volume: 14.34 Å³ per atom.

Entry 17:
# TbGa2Ni2

A relaxed structure of TbGa2Ni2 (PBE, Alexandria).

Unit cell a=5.7274 b=5.7274 c=6.9758 alpha=99.44 beta=99.44 gamma=126.90
Sites, in units of the cell vectors:
Tb (0.5000, 0.5000, 0.0000)
Tb (0.7500, 0.2500, 0.5000)
Ni (0.3521, 0.8521, 0.7042)
Ni (0.1021, 0.1021, 0.2042)
Ni (0.8979, 0.8979, 0.7958)
Ni (0.1479, 0.6479, 0.2958)
Ga (0.4448, 0.5552, 0.5000)
Ga (0.0552, 0.9448, 0.5000)
Ga (0.8052, 0.1948, 0.0000)
Ga (0.1948, 0.8052, 0.0000)

The calculation puts the formation energy at -528 meV/atom. As for the electronic total energy: -4.977 eV per atom. As for the volume: 17.02 Å³ per atom.

Entry 18:
# Tb2Ga5Ni4

A relaxed structure of Tb2Ga5Ni4 (PBE, Alexandria).

Unit cell a=5.2646 b=5.1994 c=8.1071 alpha=80.54 beta=71.05 gamma=59.58
Sites, in units of the cell vectors:
Ga (0.0000, 0.5000, 0.0000)
Ga (0.5000, 0.0000, 0.0000)
Ga (0.2500, 0.5000, 0.5000)
Ga (0.7500, 0.5000, 0.5000)
Ga (0.5000, 0.5000, 0.0000)
Tb (0.8683, 0.0000, 0.2634)
Tb (0.1317, 0.0000, 0.7366)
Ni (0.5256, 0.6877, 0.2611)
Ni (0.4744, 0.3123, 0.7389)
Ni (0.7867, 0.6877, 0.7389)
Ni (0.2133, 0.3123, 0.2611)

The calculation puts the formation energy at -538 meV/atom. As for the electronic total energy: -4.858 eV per atom. As for the volume: 16.45 Å³ per atom.

Entry 19:
# Tb3Ga2Ni2

A relaxed structure of Tb3Ga2Ni2 (PBE, Alexandria).

Unit cell a=5.5091 b=7.9432 c=12.9551 alpha=90.00 beta=90.00 gamma=90.00
Sites, in units of the cell vectors:
Tb (0.8489, 0.3982, 0.5997)
Tb (0.3569, 0.2450, 0.2500)
Tb (0.8489, 0.3982, 0.9003)
Tb (0.1511, 0.8982, 0.5997)
Tb (0.1511, 0.6018, 0.0997)
Tb (0.1511, 0.6018, 0.4003)
Tb (0.1511, 0.8982, 0.9003)
Tb (0.6431, 0.7550, 0.7500)
Tb (0.8489, 0.1018, 0.4003)
Tb (0.3569, 0.2550, 0.7500)
Tb (0.6431, 0.7450, 0.2500)
Tb (0.8489, 0.1018, 0.0997)
Ga (0.3523, 0.2500, 0.0000)
Ga (0.1495, 0.8937, 0.2500)
Ga (0.6477, 0.7500, 0.0000)
Ga (0.3523, 0.2500, 0.5000)
Ga (0.8505, 0.3937, 0.2500)
Ga (0.1495, 0.6063, 0.7500)
Ga (0.8505, 0.1063, 0.7500)
Ga (0.6477, 0.7500, 0.5000)
Ni (0.6247, 0.4661, 0.0897)
Ni (0.3753, 0.5339, 0.5897)
Ni (0.3753, 0.9661, 0.0897)
Ni (0.6247, 0.0339, 0.5897)
Ni (0.3753, 0.9661, 0.4103)
Ni (0.3753, 0.5339, 0.9103)
Ni (0.6247, 0.4661, 0.4103)
Ni (0.6247, 0.0339, 0.9103)

The calculation puts the formation energy at -569 meV/atom. As for the electronic total energy: -5.070 eV per atom. As for the volume: 20.25 Å³ per atom.

Entry 20:
# Tb4Ga21Ni10

A relaxed structure of Tb4Ga21Ni10 (PBE, Alexandria).

Unit cell a=10.6788 b=10.6788 c=15.3145 alpha=56.34 beta=56.34 gamma=22.31
Sites, in units of the cell vectors:
Ga (0.6011, 0.6011, 0.9997)
Ga (0.1172, 0.1172, 0.4456)
Ga (0.6269, 0.6269, 0.8040)
Ga (0.3731, 0.3731, 0.1960)
Ga (0.1999, 0.1999, 0.9976)
Ga (0.3989, 0.3989, 0.0003)
Ga (0.8001, 0.8001, 0.0024)
Ga (0.2975, 0.2975, 0.5026)
Ga (0.7025, 0.7025, 0.4974)
Ga (0.8828, 0.8828, 0.5544)
Ga (0.6132, 0.6132, 0.2961)
Ga (0.5000, 0.5000, 0.5000)
Ga (0.9936, 0.9936, 0.0916)
Ga (0.4595, 0.4595, 0.3684)
Ga (0.5405, 0.5405, 0.6316)
Ga (0.3868, 0.3868, 0.7039)
Ga (0.0659, 0.0659, 0.2030)
Ga (0.9341, 0.9341, 0.7970)
Ga (0.0064, 0.0064, 0.9084)
Ga (0.7507, 0.7507, 0.2952)
Ga (0.2493, 0.2493, 0.7048)
Ni (0.1331, 0.1331, 0.8941)
Ni (0.7508, 0.7508, 0.6157)
Ni (0.0232, 0.0232, 0.3938)
Ni (0.6530, 0.6530, 0.1096)
Ni (0.9768, 0.9768, 0.6062)
Ni (0.4982, 0.4982, 0.1835)
Ni (0.5018, 0.5018, 0.8165)
Ni (0.3470, 0.3470, 0.8904)
Ni (0.2492, 0.2492, 0.3843)
Ni (0.8669, 0.8669, 0.1059)
Tb (0.7714, 0.7714, 0.8240)
Tb (0.2286, 0.2286, 0.1760)
Tb (0.8789, 0.8789, 0.3347)
Tb (0.1211, 0.1211, 0.6653)

The calculation puts the formation energy at -511 meV/atom. As for the electronic total energy: -4.508 eV per atom. As for the volume: 15.63 Å³ per atom.